A relaxed structure of Ca2Zn15Pt2. Source: Alexandria via LeMat-Bulk, functional GGA-PBE.

Values from the calculation:
total magnetization	0.00	μB per formula unit
total energy	-40.530	eV/cell

Cell: 6.8331 6.8331 6.8331 Å, 82.92 82.92 82.92°
Last column: nearest neighbours and their distance in Å.
Element x y z (fractional)
Ca 0.3376 0.3376 0.3376  1 Pt 3.00, 12 Zn 3.24-3.33
Ca 0.6624 0.6624 0.6624  1 Pt 3.00, 12 Zn 3.24-3.33
Zn 0.5000 0.0000 0.0000  8 Zn 2.58-2.63, 2 Pt 2.71
Zn 0.0000 0.0000 0.5000  8 Zn 2.58-2.63, 2 Pt 2.71
Zn 0.0000 0.5000 0.0000  8 Zn 2.58-2.63, 2 Pt 2.71
Zn 0.0000 0.7126 0.2874  8 Zn 2.58-2.77
Zn 0.7126 0.2874 0.0000  8 Zn 2.58-2.77
Zn 0.2874 0.0000 0.7126  8 Zn 2.58-2.77
Zn 0.2874 0.7126 0.0000  8 Zn 2.58-2.77
Zn 0.7126 0.0000 0.2874  8 Zn 2.58-2.77
Zn 0.0000 0.2874 0.7126  8 Zn 2.58-2.77
Zn 0.1521 0.6498 0.6498  8 Zn 2.63-2.77, 1 Pt 2.79
Zn 0.6498 0.6498 0.1521  8 Zn 2.63-2.77, 1 Pt 2.79
Zn 0.6498 0.1521 0.6498  8 Zn 2.63-2.77, 1 Pt 2.79
Zn 0.8479 0.3502 0.3502  8 Zn 2.63-2.77, 1 Pt 2.79
Zn 0.3502 0.3502 0.8479  8 Zn 2.63-2.77, 1 Pt 2.79
Zn 0.3502 0.8479 0.3502  8 Zn 2.63-2.77, 1 Pt 2.79
Pt 0.1106 0.1106 0.1106  12 Zn 2.71-2.98, 1 Pt 2.92, 1 Ca 3.00
Pt 0.8894 0.8894 0.8894  12 Zn 2.71-2.98, 1 Pt 2.92, 1 Ca 3.00

***

A relaxed structure of NaNd2Sn3Te6. Source: Alexandria via LeMat-Bulk, functional GGA-PBE.

Values from the calculation:
total magnetization	0.00	μB per formula unit
total energy	-50.792	eV/cell
raw formation energy	-0.7566	eV/atom

Cell: 4.4631 9.2513 10.2424 Å, 104.69 102.58 90.00°
Last column: nearest neighbours and their distance in Å.
Element x y z (fractional)
Na 0.5000 0.0000 0.0000  6 Te 3.24-3.36
Nd 0.8324 0.6568 0.6648  6 Te 3.16-3.23
Nd 0.1676 0.3432 0.3352  6 Te 3.16-3.23
Sn 0.5000 0.5000 0.0000  6 Te 3.19-3.23
Sn 0.8415 0.1529 0.6830  6 Te 3.13-3.28
Sn 0.1585 0.8471 0.3170  6 Te 3.13-3.28
Te 0.3258 0.9045 0.6517  3 Sn 3.16-3.25, 2 Nd 3.23, 1 Na 3.36
Te 0.6671 0.5922 0.3341  3 Nd 3.20-3.21, 3 Sn 3.23-3.28
Te 0.6742 0.0955 0.3483  3 Sn 3.16-3.25, 2 Nd 3.23, 1 Na 3.36
Te 0.0037 0.2559 0.0074  3 Sn 3.13-3.19, 1 Nd 3.16, 2 Na 3.24
Te 0.9963 0.7441 0.9926  3 Sn 3.13-3.19, 1 Nd 3.16, 2 Na 3.24
Te 0.3329 0.4078 0.6659  3 Nd 3.20-3.21, 3 Sn 3.23-3.28

***

A relaxed structure of DyPaSiPd. Source: Alexandria via LeMat-Bulk, functional GGA-PBE.

Values from the calculation:
total magnetization	1.78	μB per formula unit
total energy	-26.274	eV/cell
raw formation energy	-0.3900	eV/atom

Cell: 4.9831 4.9831 4.9831 Å, 60.00 60.00 60.00°
Last column: nearest neighbours and their distance in Å.
Element x y z (fractional)
Si 0.0000 0.0000 0.0000  4 Pa 3.05, 4 Dy 3.05
Pa 0.2500 0.2500 0.2500  4 Pd 3.05, 4 Si 3.05
Pd 0.5000 0.5000 0.5000  4 Dy 3.05, 4 Pa 3.05
Dy 0.7500 0.7500 0.7500  4 Pd 3.05, 4 Si 3.05

***

A relaxed structure of PuUPaSb. Source: Alexandria via LeMat-Bulk, functional GGA-PBE.

Values from the calculation:
total magnetization	3.48	μB per formula unit
total energy	-39.045	eV/cell
raw formation energy	0.0484	eV/atom

Cell: 5.1045 5.1045 5.1045 Å, 60.00 60.00 60.00°
Last column: nearest neighbours and their distance in Å.
Element x y z (fractional)
Sb 0.0000 0.0000 0.0000  4 Pa 3.13, 4 Pu 3.13
Pa 0.7500 0.7500 0.7500  4 Sb 3.13, 4 U 3.13
U 0.5000 0.5000 0.5000  4 Pa 3.13, 4 Pu 3.13
Pu 0.2500 0.2500 0.2500  4 Sb 3.13, 4 U 3.13

***

A relaxed structure of Te2PdCl. Source: Alexandria via LeMat-Bulk, functional GGA-PBE.

Values from the calculation:
total magnetization	0.00	μB per formula unit
total energy	-12.669	eV/cell
raw formation energy	0.1634	eV/atom

Cell: 10.5025 10.5025 10.5025 Å, 17.78 17.78 17.78°
Last column: nearest neighbours and their distance in Å.
Element x y z (fractional)
Te 0.9154 0.9154 0.9154  1 Pd 2.62
Te 0.0846 0.0846 0.0846  1 Pd 2.62
Pd 0.0000 0.0000 0.0000  2 Te 2.62
Cl 0.5000 0.5000 0.5000  6 Te 3.16, 6 Cl 3.25

***

A relaxed structure of LiAcCePm. Source: Alexandria via LeMat-Bulk, functional GGA-PBE.

Values from the calculation:
total magnetization	2.50	μB per formula unit
total energy	-15.587	eV/cell

Cell: 5.6488 5.6488 5.6488 Å, 60.00 60.00 60.00°
Last column: nearest neighbours and their distance in Å.
Element x y z (fractional)
Ac 0.7500 0.7500 0.7500  4 Ce 3.46, 4 Li 3.46
Li 0.0000 0.0000 0.0000  4 Pm 3.46, 4 Ac 3.46
Ce 0.5000 0.5000 0.5000  4 Ac 3.46, 4 Pm 3.46
Pm 0.2500 0.2500 0.2500  4 Li 3.46, 4 Ce 3.46

***

A relaxed structure of SmYSiSe. Source: Alexandria via LeMat-Bulk, functional GGA-PBE.

Values from the calculation:
total magnetization	0.00	μB per formula unit
total energy	-25.345	eV/cell
raw formation energy	-1.3136	eV/atom

Cell: 4.1508 4.1508 7.2854 Å, 73.45 73.45 60.00°
Last column: nearest neighbours and their distance in Å.
Element x y z (fractional)
Sm 0.4486 0.4486 0.6543  3 Si 2.92, 3 Se 3.03
Y 0.9400 0.9400 0.1799  3 Si 2.88, 3 Se 2.98
Si 0.1957 0.1957 0.4129  3 Y 2.88, 3 Sm 2.92
Se 0.6922 0.6922 0.9236  3 Y 2.98, 3 Sm 3.03

***

A relaxed structure of MoI2Cl. Source: Alexandria via LeMat-Bulk, functional GGA-PBE.

Values from the calculation:
energy above the lowest structure with this stoichiometry	194	meV/atom
total magnetization	3.00	μB per formula unit
total energy	-13.635	eV/cell
raw formation energy	0.5358	eV/atom

Cell: 5.2009 5.2009 5.2009 Å, 60.00 60.00 60.00°
Last column: nearest neighbours and their distance in Å.
Element x y z (fractional)
I 0.2500 0.2500 0.2500  4 Mo 3.18, 4 Cl 3.18
I 0.7500 0.7500 0.7500  4 Mo 3.18, 4 Cl 3.18
Mo 0.5000 0.5000 0.5000  8 I 3.18
Cl 0.0000 0.0000 0.0000  8 I 3.18

***

A relaxed structure of CrReP2Pt. Source: Alexandria via LeMat-Bulk, functional GGA-PBE.

Values from the calculation:
total magnetization	2.89	μB per formula unit
total energy	-29.271	eV/cell

Cell: 4.4800 5.0892 4.4800 Å, 90.00 90.00 90.00°
Last column: nearest neighbours and their distance in Å.
Element x y z (fractional)
Re 0.0000 0.5000 0.0000  2 Pt 2.54
P 0.0000 0.0000 0.5000  2 Pt 2.24
P 0.5000 0.0000 0.0000  2 Pt 2.24
Pt 0.0000 0.0000 0.0000  4 P 2.24
Cr 0.5000 0.5000 0.5000  4 Re 3.17, 8 P 3.39

***

A relaxed structure of TbYAlGa. Source: Alexandria via LeMat-Bulk, functional GGA-PBE.

Values from the calculation:
energy above the lowest structure with this stoichiometry	0	meV/atom
total magnetization	0.00	μB per formula unit
total energy	-19.978	eV/cell

Cell: 4.4121 4.0820 5.9532 Å, 90.00 111.75 90.00°
Last column: nearest neighbours and their distance in Å.
Element x y z (fractional)
Tb 0.1424 0.0000 0.2847  4 Al 3.10, 3 Ga 3.11-3.27
Y 0.8615 0.5000 0.7231  4 Ga 3.08, 3 Al 3.20-3.21
Al 0.5723 0.5000 0.1446  2 Ga 2.62
Ga 0.4238 0.0000 0.8475  2 Al 2.62

***

A relaxed structure of Rb2Na9Hg6. Source: Alexandria via LeMat-Bulk, functional GGA-PBE.

Values from the calculation:
total magnetization	0.00	μB per formula unit
total energy	-17.422	eV/cell

Cell: 7.1658 7.1658 14.3774 Å, 90.00 90.00 120.00°
Last column: nearest neighbours and their distance in Å.
Element x y z (fractional)
Rb 0.0000 0.0000 0.6747  6 Hg 4.14, 12 Na 4.27-4.38
Rb 0.0000 0.0000 0.3253  6 Hg 4.14, 12 Na 4.27-4.38
Na 0.5000 0.0000 0.8360  4 Hg 3.14-3.17
Na 0.0000 0.5000 0.8360  4 Hg 3.14-3.17
Na 0.5000 0.5000 0.8360  4 Hg 3.14-3.17
Na 0.5000 0.0000 0.1640  4 Hg 3.14-3.17
Na 0.0000 0.5000 0.1640  4 Hg 3.14-3.17
Na 0.5000 0.5000 0.1640  4 Hg 3.14-3.17
Na 0.5000 0.0000 0.5000  4 Hg 3.19
Na 0.0000 0.5000 0.5000  4 Hg 3.19
Na 0.5000 0.5000 0.5000  4 Hg 3.19
Hg 0.3333 0.6667 0.0000  6 Na 3.14
Hg 0.6667 0.3333 0.0000  6 Na 3.14
Hg 0.3333 0.6667 0.6689  6 Na 3.17-3.19
Hg 0.6667 0.3333 0.6689  6 Na 3.17-3.19
Hg 0.6667 0.3333 0.3311  6 Na 3.17-3.19
Hg 0.3333 0.6667 0.3311  6 Na 3.17-3.19

***

A relaxed structure of ZnSnSe3. Source: Alexandria via LeMat-Bulk, functional GGA-PBE.

Values from the calculation:
energy above the lowest structure with this stoichiometry	474	meV/atom
total magnetization	0.00	μB per formula unit
total energy	-15.274	eV/cell
raw formation energy	0.0913	eV/atom

Cell: 4.9623 4.9623 4.9623 Å, 90.00 90.00 90.00°
Last column: nearest neighbours and their distance in Å.
Element x y z (fractional)
Zn 0.0000 0.0000 0.0000  6 Se 2.48
Sn 0.5000 0.5000 0.5000  12 Se 3.51
Se 0.0000 0.5000 0.0000  2 Zn 2.48
Se 0.0000 0.0000 0.5000  2 Zn 2.48
Se 0.5000 0.0000 0.0000  2 Zn 2.48

***

| no. | N(E_F) (states/eV/cell) |
| --- | --- |
| 1 | 6.08 |
| 2 | 4.10 |
| 3 | 7.38 |
| 4 | 12.97 |
| 5 | 4.13 |
| 6 | 10.38 |
| 7 | 1.31 |
| 8 | 1.94 |
| 9 | 8.11 |
| 10 | 3.51 |
| 11 | 8.05 |
| 12 | 3.35 |